NaTb2HoSe4: optimized geometry, GGA-PBE.

Spin magnetization: 0.0 μB/f.u.
Energy relative to the elements, uncorrected: -1.7320 eV per atom
D(E_F): 2.69 states/eV per cell

Unit cell a=4.077 b=7.125 c=7.125 alpha=71.00 beta=90.00 gamma=90.00
Atoms (fractional coordinates):
Na1 0.500 0.500 0.000
Tb1 0.000 0.000 0.000
Tb2 0.500 0.000 0.500
Ho1 0.000 0.500 0.500
Se1 0.000 0.751 0.746
Se2 0.000 0.249 0.254
Se3 0.500 0.747 0.252
Se4 0.500 0.253 0.748


YPaAl2: optimized geometry, GGA-PBE.

Spin magnetization: 0.0 μB/f.u.
D(E_F): 6.11 states/eV per cell
Energy above the most stable polymorph in this dataset: 209 meV per atom

Unit cell a=3.249 b=3.249 c=10.362 alpha=80.98 beta=80.98 gamma=60.00
Atoms (fractional coordinates):
Y1 0.500 0.500 0.500
Pa1 0.000 0.000 0.000
Al1 0.750 0.750 0.750
Al2 0.250 0.250 0.250


BaSc3Be: optimized geometry, GGA-PBE.

Spin magnetization: 0.0 μB/f.u.
D(E_F): 6.96 states/eV per cell
Energy above the most stable polymorph in this dataset: 1347 meV per atom

Unit cell a=5.259 b=5.259 c=5.259 alpha=90.00 beta=90.00 gamma=90.00
Atoms (fractional coordinates):
Sc1 0.000 0.500 0.000
Sc2 0.000 0.000 0.500
Sc3 0.500 0.000 0.000
Be1 0.500 0.500 0.500
Ba1 0.000 0.000 0.000